No. 1
UTeSe | PBE | optimized geometry

Properties
The density of states at the Fermi level is 7.74 states/eV per cell. As for the crystal system: hexagonal. The calculation puts the raw formation energy at -0.6666 eV/atom. The spin magnetization comes out at 0.68 μB per atom. As for the total energy: -6.64 eV/atom. Its symmetry is P-6m2. The calculated volume is 26.924 A^3/atom.

Cell lengths 4.788, 4.788, 4.068 Å; angles 90.00, 90.00, 120.00 degrees
Sites, in units of the cell vectors:
U1 0.000 0.000 0.000
Te1 0.667 0.333 0.500
Se1 0.333 0.667 0.000

No. 2
U2TeSe | PBE | optimized geometry

Properties
The density of states at the Fermi level is 10.31 states/eV per cell. As for the crystal system: tetragonal. The calculation puts the raw formation energy at -0.6088 eV/atom. The spin magnetization comes out at 1.75 μB per atom. As for the total energy: -7.91 eV/atom. Its symmetry is P4/mmm. The calculated volume is 24.143 A^3/atom.

Cell lengths 3.643, 3.643, 7.276 Å; angles 90.00, 90.00, 90.00 degrees
Sites, in units of the cell vectors:
U1 0.000 0.000 0.234
U2 0.000 0.000 0.766
Te1 0.500 0.500 0.500
Se1 0.500 0.500 0.000

No. 3
UTeSe | PBE | optimized geometry

Properties
The density of states at the Fermi level is 7.13 states/eV per cell. As for the crystal system: monoclinic. The calculation puts the raw formation energy at -0.7990 eV/atom. The spin magnetization comes out at 0.63 μB per atom. As for the total energy: -6.77 eV/atom. Its symmetry is P2_1/m. The calculated volume is 29.211 A^3/atom.

Cell lengths 5.082, 5.165, 7.135 Å; angles 90.00, 110.63, 90.00 degrees
Sites, in units of the cell vectors:
U1 0.248 0.250 0.496
U2 0.752 0.750 0.504
Te1 0.391 0.750 0.786
Te2 0.609 0.250 0.214
Se1 0.143 0.750 0.284
Se2 0.857 0.250 0.716

No. 4
UTeSe4 | PBE | optimized geometry

Properties
The density of states at the Fermi level is 7.65 states/eV per cell. As for the crystal system: monoclinic. The calculation puts the raw formation energy at -0.4307 eV/atom. The spin magnetization comes out at 0.04 μB per atom. As for the total energy: -5.16 eV/atom. Its symmetry is P2_1/c. The calculated volume is 29.195 A^3/atom.

Cell lengths 7.574, 6.640, 7.252 Å; angles 90.00, 106.11, 90.00 degrees
Sites, in units of the cell vectors:
U1 0.000 0.000 0.000
U2 0.000 0.500 0.500
Te1 0.500 0.000 0.500
Te2 0.500 0.500 0.000
Se1 0.103 0.164 0.702
Se2 0.103 0.336 0.202
Se3 0.355 0.646 0.628
Se4 0.355 0.854 0.128
Se5 0.645 0.146 0.872
Se6 0.645 0.354 0.372
Se7 0.897 0.664 0.798
Se8 0.897 0.836 0.298

No. 5
UTeSe | PBE | optimized geometry

Properties
The density of states at the Fermi level is 14.55 states/eV per cell. As for the crystal system: hexagonal. The calculation puts the raw formation energy at -0.7610 eV/atom. The spin magnetization comes out at 0.86 μB per atom. As for the total energy: -6.73 eV/atom. Its symmetry is P6_3/mmc. The calculated volume is 24.583 A^3/atom.

Cell lengths 5.353, 5.353, 5.942 Å; angles 90.00, 90.00, 120.00 degrees
Sites, in units of the cell vectors:
U1 0.333 0.667 0.250
U2 0.667 0.333 0.750
Te1 0.000 0.000 0.000
Te2 0.000 0.000 0.500
Se1 0.333 0.667 0.750
Se2 0.667 0.333 0.250

No. 6
UTeSe | PBE | optimized geometry

Properties
The density of states at the Fermi level is 18.11 states/eV per cell. As for the crystal system: orthorhombic. The calculation puts the raw formation energy at -0.6688 eV/atom. The spin magnetization comes out at 0.85 μB per atom. As for the total energy: -6.64 eV/atom. Its symmetry is Cmcm. The calculated volume is 30.359 A^3/atom.

Cell lengths 3.384, 22.231, 4.843 Å; angles 90.00, 90.00, 90.00 degrees
Sites, in units of the cell vectors:
U1 0.000 0.068 0.250
U2 0.000 0.932 0.750
U3 0.500 0.432 0.750
U4 0.500 0.568 0.250
Te1 0.000 0.317 0.750
Te2 0.000 0.683 0.250
Te3 0.500 0.183 0.250
Te4 0.500 0.817 0.750
Se1 0.000 0.452 0.250
Se2 0.000 0.548 0.750
Se3 0.500 0.048 0.750
Se4 0.500 0.952 0.250